# 1
Material: HoNiB4
Method: DFT, PBE
State: relaxed

Cell lengths 3.1740, 3.1740, 6.4499 Å; angles 90.00, 90.00, 120.00 degrees
Fractional coordinates of all 6 atoms:
B 0.6667 0.3333 0.2920
B 0.3333 0.6667 0.2920
B 0.6667 0.3333 0.7080
B 0.3333 0.6667 0.7080
Ho 0.0000 0.0000 0.0000
Ni 0.0000 0.0000 0.5000

Calculated values
**Magnetic moment**: 0.0 μB per cell
**DFT total energy**: -6.45 eV/atom

***

# 2
Material: HoNiB4
Method: DFT, PBE
State: relaxed

Cell lengths 4.7844, 4.7844, 4.7844 Å; angles 141.74, 113.16, 79.72 degrees
Fractional coordinates of all 6 atoms:
B 0.5728 0.2454 0.3274
B 0.0820 0.7546 0.3274
B 0.9180 0.2454 0.6726
B 0.4272 0.7546 0.6726
Ho 0.5000 0.5000 0.0000
Ni 0.0000 0.0000 0.0000

Calculated values
**Magnetic moment**: 0.0 μB per cell
**DFT total energy**: -6.32 eV/atom

***

# 3
Material: HoNiB
Method: DFT, PBE
State: relaxed

Cell lengths 4.1074, 4.1074, 4.1074 Å; angles 60.00, 60.00, 60.00 degrees
Each line ends with the local moment (μB).
Fractional coordinates of all 3 atoms:
B 0.2500 0.2500 0.2500  -0.11
Ho 0.7500 0.7500 0.7500  -0.15
Ni 0.0000 0.0000 0.0000  -0.19

Calculated values
**Magnetic moment**: 0.6 μB per cell
**DFT total energy**: -5.31 eV/atom

***

# 4
Material: Ho3Ni7B2
Method: DFT, PBE
State: relaxed

Cell lengths 5.0749, 5.0750, 14.2869 Å; angles 90.00, 90.00, 120.00 degrees
Fractional coordinates of all 24 atoms:
B 0.0000 0.0000 0.2500
B 0.3333 0.6666 0.2500
B 0.0000 0.0000 0.7500
B 0.6667 0.3334 0.7500
Ho 0.6667 0.3334 0.0307
Ho 0.6667 0.3334 0.2500
Ho 0.6667 0.3334 0.4693
Ho 0.3333 0.6666 0.5307
Ho 0.3333 0.6666 0.7500
Ho 0.3333 0.6666 0.9693
Ni 0.0000 0.0000 0.0000
Ni 0.1656 0.8345 0.1490
Ni 0.6689 0.8345 0.1490
Ni 0.1655 0.3311 0.1490
Ni 0.1655 0.3311 0.3510
Ni 0.1656 0.8345 0.3510
Ni 0.6689 0.8345 0.3510
Ni 0.0000 0.0000 0.5000
Ni 0.3311 0.1655 0.6490
Ni 0.8344 0.1655 0.6490
Ni 0.8345 0.6689 0.6490
Ni 0.8345 0.6689 0.8510
Ni 0.3311 0.1655 0.8510
Ni 0.8344 0.1655 0.8510

Calculated values
**Magnetic moment**: 0.0 μB per cell
**DFT total energy**: -6.03 eV/atom

***

# 5
Material: HoNiB
Method: DFT, PBE
State: relaxed

Cell lengths 4.0372, 4.0372, 4.0372 Å; angles 60.00, 60.00, 60.00 degrees
Each line ends with the local moment (μB).
Fractional coordinates of all 3 atoms:
B 0.0000 0.0000 0.0000  0.03
Ho 0.2500 0.2500 0.2500  0.04
Ni 0.7500 0.7500 0.7500  0.06

Calculated values
**Magnetic moment**: 0.2 μB per cell
**DFT total energy**: -5.57 eV/atom

***

# 6
Material: HoNiB4
Method: DFT, PBE
State: relaxed

Cell lengths 6.8024, 6.8024, 6.8024 Å; angles 102.71, 112.95, 112.95 degrees
Fractional coordinates of all 24 atoms:
B 0.3867 0.2753 0.1114
B 0.8360 0.7247 0.1114
B 0.5332 0.1137 0.1137
B 0.0000 0.5806 0.1137
B 0.3867 0.1114 0.2753
B 0.1640 0.8886 0.2753
B 0.5332 0.4194 0.4194
B 0.0000 0.8863 0.4194
B 0.0000 0.1137 0.5806
B 0.4668 0.5806 0.5806
B 0.6133 0.8886 0.7247
B 0.8360 0.1114 0.7247
B 0.0000 0.4194 0.8863
B 0.4668 0.8863 0.8863
B 0.1640 0.2753 0.8886
B 0.6133 0.7247 0.8886
Ho 0.0000 0.2029 0.2029
Ho 0.5000 0.7500 0.2500
Ho 0.5000 0.2500 0.7500
Ho 0.0000 0.7971 0.7971
Ni 0.7712 0.5000 0.2712
Ni 0.2288 0.7288 0.5000
Ni 0.7712 0.2712 0.5000
Ni 0.2288 0.5000 0.7288

Calculated values
**Magnetic moment**: 0.0 μB per cell
**DFT total energy**: -6.72 eV/atom

***

# 7
Material: Ho3Ni19B10
Method: DFT, PBE
State: relaxed

Cell lengths 5.7751, 7.9066, 7.9066 Å; angles 67.01, 91.16, 91.16 degrees
Fractional coordinates of all 32 atoms:
B 0.5694 0.6992 0.0652
B 0.9751 0.3501 0.1422
B 0.4306 0.9348 0.3008
B 0.9751 0.1422 0.3501
B 0.0000 0.6153 0.3847
B 0.0000 0.3847 0.6153
B 0.0249 0.8578 0.6499
B 0.5694 0.0652 0.6992
B 0.0249 0.6499 0.8578
B 0.4306 0.3008 0.9348
Ho 0.0000 0.0000 0.0000
Ho 0.6146 0.3743 0.3743
Ho 0.3854 0.6257 0.6257
Ni 0.5000 0.0000 0.0000
Ni 0.3021 0.5174 0.0452
Ni 0.9264 0.6228 0.1220
Ni 0.7034 0.1624 0.1624
Ni 0.2711 0.1820 0.1820
Ni 0.3008 0.7110 0.2297
Ni 0.6992 0.7703 0.2890
Ni 0.0736 0.8780 0.3772
Ni 0.1267 0.3779 0.3779
Ni 0.6979 0.9548 0.4826
Ni 0.3021 0.0452 0.5174
Ni 0.8733 0.6221 0.6221
Ni 0.9264 0.1220 0.6228
Ni 0.3008 0.2297 0.7110
Ni 0.6992 0.2890 0.7703
Ni 0.7289 0.8180 0.8180
Ni 0.2966 0.8376 0.8376
Ni 0.0736 0.3772 0.8780
Ni 0.6979 0.4826 0.9548

Calculated values
**Magnetic moment**: 0.0 μB per cell
**DFT total energy**: -6.26 eV/atom

***

# 8
Material: Tb2HoNi2B2P3
Method: DFT, PBE
State: relaxed

Cell lengths 10.9563, 10.9563, 10.9563 Å; angles 159.28, 159.28, 29.46 degrees
Fractional coordinates of all 10 atoms:
B 0.2186 0.2186 0.0000
B 0.7814 0.7814 0.0000
Ho 0.0000 0.0000 0.0000
Ni 0.7500 0.2500 0.5000
Ni 0.2500 0.7500 0.5000
P 0.1275 0.1275 0.0000
P 0.5000 0.5000 0.0000
P 0.8725 0.8725 0.0000
Tb 0.3627 0.3627 0.0000
Tb 0.6373 0.6373 0.0000

Calculated values
**Magnetic moment**: 0.0 μB per cell
**DFT total energy**: -6.37 eV/atom

***

# 9
Material: TbHoNi2B2P2
Method: DFT, PBE
State: relaxed

Cell lengths 3.8890, 3.8890, 7.8460 Å; angles 90.00, 90.00, 90.00 degrees
Fractional coordinates of all 8 atoms:
B 0.5000 0.5000 0.4066
B 0.0000 0.0000 0.5945
Ho 0.0000 0.0000 0.2055
Ni 0.5000 0.0000 0.4992
Ni 0.0000 0.5000 0.4992
P 0.5000 0.5000 0.1582
P 0.0000 0.0000 0.8436
Tb 0.5000 0.5000 0.7932

Calculated values
**Magnetic moment**: 0.0 μB per cell
**DFT total energy**: -6.31 eV/atom

***

# 10
Material: YHoNi2B2P2
Method: DFT, PBE
State: relaxed

Cell lengths 3.8797, 3.8797, 7.8551 Å; angles 90.00, 90.00, 90.00 degrees
Fractional coordinates of all 8 atoms:
B 0.0000 0.0000 0.4045
B 0.5000 0.5000 0.5955
Ho 0.0000 0.0000 0.7937
Ni 0.5000 0.0000 0.5007
Ni 0.0000 0.5000 0.5007
P 0.0000 0.0000 0.1558
P 0.5000 0.5000 0.8433
Y 0.5000 0.5000 0.2058

Calculated values
**Magnetic moment**: 0.0 μB per cell
**DFT total energy**: -6.54 eV/atom

***

# 11
Material: YHo2Ni2B2P3
Method: DFT, PBE
State: relaxed

Cell lengths 10.9906, 10.9906, 10.9906 Å; angles 159.44, 159.44, 29.24 degrees
Fractional coordinates of all 10 atoms:
B 0.2194 0.2194 0.0000
B 0.7806 0.7806 0.0000
Ho 0.3630 0.3630 0.0000
Ho 0.6370 0.6370 0.0000
Ni 0.7500 0.2500 0.5000
Ni 0.2500 0.7500 0.5000
P 0.1283 0.1283 0.0000
P 0.5000 0.5000 0.0000
P 0.8717 0.8717 0.0000
Y 0.0000 0.0000 0.0000

Calculated values
**Magnetic moment**: 0.0 μB per cell
**DFT total energy**: -6.55 eV/atom

***

# 12
Material: HoTmNi2B4
Method: DFT, PBE
State: relaxed

Cell lengths 3.6294, 3.6294, 7.7383 Å; angles 90.00, 90.00, 90.00 degrees
Fractional coordinates of all 8 atoms:
B 0.0000 0.0000 0.1357
B 0.0000 0.0000 0.3458
B 0.5000 0.5000 0.6549
B 0.5000 0.5000 0.8645
Ho 0.5000 0.5000 0.3228
Ni 0.5000 0.0000 0.9993
Ni 0.0000 0.5000 0.9993
Tm 0.0000 0.0000 0.6777

Calculated values
**Magnetic moment**: 0.1 μB per cell
**DFT total energy**: -6.12 eV/atom

***

# 13
Material: HoNpB
Method: DFT, PBE
State: relaxed

Cell lengths 4.4246, 4.4246, 4.4246 Å; angles 60.00, 60.00, 60.00 degrees
Each line ends with the local moment (μB).
Fractional coordinates of all 3 atoms:
B 0.0000 0.0000 0.0000  -0.10
Ho 0.2500 0.2500 0.2500  0.41
Np 0.7500 0.7500 0.7500  3.90

Calculated values
**Magnetic moment**: 4.4 μB per cell
**DFT total energy**: -7.59 eV/atom

***

# 14
Material: Ho2BO4
Method: DFT, PBE
State: relaxed

Cell lengths 6.0329, 6.0329, 6.0329 Å; angles 119.99, 90.01, 119.99 degrees
Fractional coordinates of all 14 atoms:
B 0.0000 0.0000 0.0000
B 0.7500 0.5000 0.2500
Ho 0.3750 0.7500 0.1250
Ho 0.3750 0.2500 0.6250
Ho 0.3750 0.7500 0.6250
Ho 0.8750 0.2500 0.6250
O 0.1041 0.2081 0.3122
O 0.6459 0.7081 0.3540
O 0.0622 0.7081 0.3541
O 0.6460 0.2919 0.3541
O 0.6878 0.7919 0.8959
O 0.1040 0.2081 0.8959
O 0.1041 0.7919 0.8960
O 0.6459 0.2919 0.9378

Calculated values
**Magnetic moment**: 0.0 μB per cell
**DFT total energy**: -7.74 eV/atom

***

# 15
Material: HoBO5
Method: DFT, PBE
State: relaxed

Cell lengths 3.7687, 4.8058, 4.8163 Å; angles 85.03, 75.30, 89.78 degrees
Each line ends with the local moment (μB).
Fractional coordinates of all 7 atoms:
B 0.2953 0.5038 0.0084  -0.01
Ho 0.8986 0.0176 0.0268  0.01
O 0.9421 0.4721 0.1773  0.18
O 0.3914 0.9809 0.4484  0.68
O 0.0399 0.9840 0.5035  0.51
O 0.4600 0.2745 0.8884  0.14
O 0.4419 0.7671 0.9472  0.17

Calculated values
**Magnetic moment**: 2.0 μB per cell
**DFT total energy**: -7.05 eV/atom

***

# 16
Material: Ho4B6O15
Method: DFT, PBE
State: relaxed

Cell lengths 4.3509, 6.1943, 18.6780 Å; angles 96.10, 90.00, 110.56 degrees
Fractional coordinates of all 50 atoms:
B 0.0210 0.6630 0.0253
B 0.6088 0.8097 0.0871
B 0.7988 0.1375 0.1947
B 0.6613 0.8625 0.3053
B 0.7991 0.1903 0.4129
B 0.3579 0.3370 0.4747
B 0.6421 0.6630 0.5253
B 0.2009 0.8097 0.5871
B 0.3387 0.1375 0.6947
B 0.2012 0.8625 0.8053
B 0.3912 0.1903 0.9129
B 0.9790 0.3370 0.9747
Ho 0.3398 0.2699 0.0995
Ho 0.0762 0.7261 0.1959
Ho 0.3501 0.2739 0.3041
Ho 0.0699 0.7301 0.4005
Ho 0.9301 0.2699 0.5995
Ho 0.6499 0.7261 0.6959
Ho 0.9238 0.2739 0.8041
Ho 0.6602 0.7301 0.9005
O 0.7490 0.7456 0.0202
O 0.9125 0.4193 0.0503
O 0.2876 0.8348 0.0699
O 0.8405 0.0324 0.1207
O 0.5595 0.6428 0.1393
O 0.4674 0.1315 0.1972
O 0.0531 0.3656 0.2044
O 0.8700 0.0000 0.2500
O 0.6875 0.6344 0.2956
O 0.3359 0.8685 0.3028
O 0.9167 0.3572 0.3607
O 0.8081 0.9676 0.3793
O 0.4527 0.1652 0.4301
O 0.4931 0.5807 0.4497
O 0.0035 0.2544 0.4798
O 0.9965 0.7456 0.5202
O 0.5069 0.4193 0.5503
O 0.5473 0.8348 0.5699
O 0.1919 0.0324 0.6207
O 0.0833 0.6428 0.6393
O 0.6641 0.1315 0.6972
O 0.3125 0.3656 0.7044
O 0.1300 0.0000 0.7500
O 0.9469 0.6344 0.7956
O 0.5326 0.8685 0.8028
O 0.4405 0.3572 0.8607
O 0.1595 0.9676 0.8793
O 0.7124 0.1652 0.9301
O 0.0875 0.5807 0.9497
O 0.2510 0.2544 0.9798

Calculated values
**Magnetic moment**: 0.0 μB per cell
**DFT total energy**: -8.26 eV/atom

***

# 17
Material: HoBPO
Method: DFT, PBE
State: relaxed

Cell lengths 3.3838, 6.5898, 5.6633 Å; angles 90.00, 90.00, 90.00 degrees
Fractional coordinates of all 8 atoms:
B 0.5000 0.1377 0.4335
B 0.5000 0.8623 0.9335
Ho 0.0000 0.7176 0.4446
Ho 0.0000 0.2824 0.9446
O 0.5000 0.9288 0.4331
O 0.5000 0.0712 0.9331
P 0.0000 0.2956 0.4429
P 0.0000 0.7044 0.9429

Calculated values
**Magnetic moment**: 0.0 μB per cell
**DFT total energy**: -6.76 eV/atom

***

# 18
Material: HoBPO
Method: DFT, PBE
State: relaxed

Cell lengths 3.7429, 5.3798, 5.8161 Å; angles 90.00, 90.00, 90.00 degrees
Fractional coordinates of all 8 atoms:
B 0.0000 0.1878 0.4415
B 0.0000 0.8122 0.9415
Ho 0.5000 0.2792 0.0942
Ho 0.5000 0.7208 0.5942
O 0.5000 0.3487 0.4495
O 0.5000 0.6513 0.9495
P 0.0000 0.8782 0.2689
P 0.0000 0.1218 0.7689

Calculated values
**Magnetic moment**: 0.0 μB per cell
**DFT total energy**: -6.37 eV/atom

***

# 19
Material: HoBPO
Method: DFT, PBE
State: relaxed

Cell lengths 3.8955, 3.8955, 6.9804 Å; angles 90.00, 90.00, 90.00 degrees
Fractional coordinates of all 8 atoms:
B 0.0000 0.0000 0.5000
B 0.5000 0.5000 0.5000
Ho 0.0000 0.5000 0.1576
Ho 0.5000 0.0000 0.8424
O 0.0000 0.0000 0.0000
O 0.5000 0.5000 0.0000
P 0.5000 0.0000 0.3984
P 0.0000 0.5000 0.6016

Calculated values
**Magnetic moment**: 0.0 μB per cell
**DFT total energy**: -6.86 eV/atom